(1)
Compound: BaPtSe
Source: the Alexandria database
Functional: PBE
Structure: optimized geometry

Output
- Total energy: -4.60 eV/atom
- Raw formation energy: -0.782 eV/atom

Unit cell a=5.4631 b=5.4631 c=9.4924 alpha=90.00 beta=90.00 gamma=120.00
Space group P6_3/mmc (No. 194)
One atom of each set of equivalent atoms:
Ba 0.3333 0.6667 0.2500 x2
Pt 0.0000 0.0000 0.0000 x2
Se 0.0000 0.0000 0.2500 x2

***

(2)
Compound: AlSi2Ir
Source: the Alexandria database
Functional: PBE
Structure: optimized geometry

Output
- Total energy: -5.98 eV/atom
- Raw formation energy: -0.119 eV/atom
- Offset from the most stable computed form: 82 meV/atom

Unit cell a=2.839 b=3.704 c=5.297 alpha=90.00 beta=90.00 gamma=90.00
Space group Pmm2 (No. 25)
One atom of each set of equivalent atoms:
Al 0.000 0.000 0.000 x1
Si 0.000 0.000 0.504 x1
Si 0.500 0.500 0.748 x1
Ir 0.500 0.500 0.261 x1

***

(3)
Compound: YSiRu2
Source: the Alexandria database
Functional: PBE
Structure: optimized geometry

Output
- Total energy: -7.84 eV/atom
- Raw formation energy: -0.231 eV/atom

Unit cell a=3.220 b=5.087 c=8.272 alpha=90.00 beta=90.00 gamma=90.00
Space group Immm (No. 71)
One atom of each set of equivalent atoms:
Y 0.000 0.000 0.000 x2
Si 0.000 0.000 0.500 x2
Ru 0.000 0.500 0.213 x4